{
  "formula": "UGaCoO6",
  "functional": "PBE with a Hubbard U",
  "state": "optimized geometry",
  "rho_g_cm3": 7.275,
  "magmom_total_mub_per_atom": 0.222,
  "dos_at_fermi_per_ev_fu": 4.5,
  "energy_ev_per_cell": -132.85,
  "vol_a3_per_cell": 211,
  "cell": [[5.2453, 0.0000, 0.0000], [-2.6227, 4.5426, 0.0000], [0.0000, 0.0000, 8.8650]],
  "species": ["U", "U", "Ga", "Ga", "Co", "Co", "O", "O", "O", "O", "O", "O", "O", "O", "O", "O", "O", "O"],
  "frac_coords": [[0.3333, 0.6667, 0.2500], [0.6667, 0.3333, 0.7500], [0.3333, 0.6667, 0.7500], [0.6667, 0.3333, 0.2500], [0.0000, 0.0000, 0.0000], [0.0000, 0.0000, 0.5000], [0.0091, 0.3394, 0.6281], [0.0091, 0.6697, 0.8719], [0.3303, 0.3394, 0.8719], [0.3303, 0.9909, 0.6281], [0.3394, 0.0091, 0.1281], [0.3394, 0.3303, 0.3719], [0.6606, 0.6697, 0.6281], [0.6606, 0.9909, 0.8719], [0.6697, 0.0091, 0.3719], [0.6697, 0.6606, 0.1281], [0.9909, 0.3303, 0.1281], [0.9909, 0.6606, 0.3719]]
}